Material: NaBe2AsAu2
Method: DFT, PBE
State: optimized geometry

Computed properties:
DFT total energy (eV/atom): -3.2943
Crystal system: tetragonal
ΔH_f (0 K) (eV/atom): 0.035

Cell: 4.405 4.405 5.606 Å, 90.00 90.00 90.00°
Positions (direct):
Na 0.000 0.000 0.000
Be 0.000 0.500 0.500
Be 0.500 0.000 0.500
As 0.000 0.000 0.500
Au 0.500 0.500 0.244
Au 0.500 0.500 0.756

=====

Material: TbTiH
Method: DFT, PBE
State: optimized geometry

Computed properties:
DFT total energy (eV/atom): -5.2623
Crystal system: trigonal

Cell: 3.201 3.201 21.761 Å, 90.00 90.00 120.00°
Positions (direct):
Tb 0.333 0.667 0.281
Tb 0.333 0.667 0.432
Tb 0.667 0.333 0.568
Tb 0.667 0.333 0.719
Ti 0.333 0.667 0.832
Ti 0.333 0.667 0.952
Ti 0.667 0.333 0.048
Ti 0.667 0.333 0.168
H 0.333 0.667 0.116
H 0.333 0.667 0.643
H 0.667 0.333 0.357
H 0.667 0.333 0.884

=====

Material: ZrSiHRh2
Method: DFT, PBE
State: optimized geometry

Computed properties:
DFT total energy (eV/atom): -6.9073
Crystal system: tetragonal

Cell: 3.982 3.982 4.104 Å, 90.00 90.00 90.00°
Positions (direct):
Zr 0.000 0.000 0.000
Si 0.500 0.500 0.000
H 0.000 0.000 0.500
Rh 0.000 0.500 0.500
Rh 0.500 0.000 0.500

=====

Material: AlInH2
Method: DFT, PBE
State: optimized geometry

Computed properties:
DFT total energy (eV/atom): -2.9838
Crystal system: tetragonal
ΔE to the lowest computed polymorph (eV/atom): 0.000

Cell: 6.411 6.411 6.411 Å, 138.86 138.86 59.59°
Positions (direct):
Al 0.000 0.000 0.000
Al 0.750 0.250 0.500
In 0.250 0.750 0.500
In 0.500 0.500 0.000
H 0.375 0.163 0.288
H 0.837 0.125 0.212
H 0.875 0.087 0.712
H 0.913 0.625 0.788

=====

Material: ScGeSCl2
Method: DFT, PBE
State: optimized geometry

Computed properties:
E_form (uncorrected) (meV per atom): -872
DFT total energy (eV/atom): -4.6263
Crystal system: tetragonal
ΔE to the lowest computed polymorph (eV/atom): 0.000

Cell: 4.937 4.937 5.050 Å, 90.00 90.00 90.00°
Positions (direct):
Sc 0.000 0.000 0.000
Ge 0.500 0.500 0.500
S 0.000 0.000 0.500
Cl 0.000 0.500 0.000
Cl 0.500 0.000 0.000

=====

Material: Y2MnCdSi
Method: DFT, PBE
State: optimized geometry

Computed properties:
E_form (uncorrected) (meV per atom): 416
DFT total energy (eV/atom): -5.2708
Crystal system: tetragonal

Cell: 5.050 5.050 4.961 Å, 90.00 90.00 90.00°
Positions (direct):
Y 0.000 0.500 0.000
Y 0.500 0.000 0.000
Mn 0.000 0.000 0.000
Cd 0.000 0.000 0.500
Si 0.500 0.500 0.500

=====

Material: Cs3ErPu2S6
Method: DFT, PBE
State: optimized geometry

Computed properties:
E_form (uncorrected) (meV per atom): -1626
DFT total energy (eV/atom): -6.6724
Crystal system: monoclinic

Cell: 7.167 7.167 8.387 Å, 98.18 98.18 120.00°
Positions (direct):
Cs 0.000 0.000 0.000
Cs 0.333 0.667 0.000
Cs 0.667 0.333 0.000
Er 0.500 0.500 0.500
Pu 0.167 0.833 0.500
Pu 0.833 0.167 0.500
S 0.110 0.440 0.320
S 0.230 0.230 0.680
S 0.440 0.110 0.320
S 0.560 0.890 0.680
S 0.770 0.770 0.320
S 0.890 0.560 0.680